# 1
10
Lattice="-1.411 4.527 -1.406 -3.254 0.120 -5.049 -5.293 1.748 2.241" Properties=species:S:1:pos:R:3 comment="Cu5Pd4Pt (PBE, relaxed)" energy_ev_per_atom=-4.597 ef_mev_per_atom=132 e_above_lowest_polymorph_mev_per_atom=250 total_magnetization_mub_per_fu=0.000 volume_a3_per_cell=148 pbc="T T T"
Cu -7.013 5.313 -1.028
Cu -6.492 2.071 -3.290
Cu -3.316 3.842 -0.773
Cu -2.795 0.601 -3.035
Cu -0.989 3.172 -0.985
Pd -5.676 3.094 -0.881
Pd -6.707 4.690 -3.408
Pd -3.112 1.258 -0.666
Pd -4.142 2.855 -3.193
Pt -0.310 0.995 -0.309

=====

# 2
11
Lattice="-2.298 1.421 0.357 -1.867 -0.857 1.790 9.059 12.831 17.664" Properties=species:S:1:pos:R:3 comment="Cu6Pd3Pt2 (PBE, relaxed)" energy_ev_per_atom=-4.851 ef_mev_per_atom=-102 total_magnetization_mub_per_fu=0.000 volume_a3_per_cell=152 pbc="T T T"
Cu -1.312 4.017 6.777
Cu 6.206 9.378 13.035
Cu 1.497 7.416 11.333
Cu 3.397 5.979 8.478
Cu -1.826 1.527 2.974
Cu 6.720 11.869 16.838
Pd 0.000 0.000 0.000
Pd 4.379 10.905 16.009
Pd 0.514 2.491 3.802
Pt 1.041 4.996 7.625
Pt 3.853 8.399 12.187

=====

# 3
11
Lattice="-2.332 0.447 1.257 -3.462 2.809 -7.420 -0.477 -8.385 2.098" Properties=species:S:1:pos:R:3 comment="Cu3Pd5Pt3 (PBE, relaxed)" energy_ev_per_atom=-4.886 ef_mev_per_atom=239 total_magnetization_mub_per_fu=0.000 volume_a3_per_cell=174 pbc="T T T"
Cu -4.077 2.586 -5.610
Cu -1.793 -0.664 -0.218
Cu -1.567 -6.826 2.393
Pd -3.633 -0.699 -3.619
Pd -2.638 -4.430 -0.446
Pd -2.320 1.160 -1.846
Pd -3.791 -3.492 -2.918
Pd -1.325 -2.573 1.328
Pt -2.069 1.679 -4.434
Pt -0.285 -5.010 1.254
Pt -1.585 -2.244 -2.142